(1)
Density functional theory data (PBE-GGA) for a relaxed CaCePa2P4 crystal.

Values from the calculation:
Formation enthalpy at 0 K (eV per atom): -1.319
Space group: P2/m, No. 10

Lattice parameters (Å, degrees): 4.032 7.008 6.984 70.58 90.00 90.00
Sites, in units of the cell vectors:
Ce (0.000, 0.500, 0.500)
P (0.000, 0.235, 0.256)
P (0.000, 0.765, 0.744)
P (0.500, 0.762, 0.246)
P (0.500, 0.238, 0.754)
Pa (0.500, 0.000, 0.500)
Pa (0.000, 0.000, 0.000)
Ca (0.500, 0.500, 0.000)

=====

(2)
Density functional theory data (PBE-GGA) for a relaxed TiVTcRu crystal.

Values from the calculation:
Formation enthalpy at 0 K (eV per atom): -0.520
Space group: P4mm, No. 99

Lattice parameters (Å, degrees): 3.052 3.052 6.122 90.00 90.00 90.00
Sites, in units of the cell vectors:
Tc (0.500, 0.500, 0.116)
V (0.000, 0.000, 0.351)
Ru (0.500, 0.500, 0.603)
Ti (0.000, 0.000, 0.857)

=====

(3)
Density functional theory data (PBE-GGA) for a relaxed MgCuBi crystal.

Values from the calculation:
Formation enthalpy at 0 K (eV per atom): -0.015
Space group: Pnma, No. 62

Lattice parameters (Å, degrees): 7.619 4.387 7.848 90.00 90.00 90.00
Sites, in units of the cell vectors:
Mg (0.528, 0.750, 0.263)
Mg (0.472, 0.250, 0.737)
Mg (0.028, 0.750, 0.237)
Mg (0.972, 0.250, 0.763)
Cu (0.086, 0.750, 0.573)
Cu (0.914, 0.250, 0.427)
Cu (0.414, 0.250, 0.073)
Cu (0.586, 0.750, 0.927)
Bi (0.222, 0.750, 0.914)
Bi (0.722, 0.750, 0.586)
Bi (0.278, 0.250, 0.414)
Bi (0.778, 0.250, 0.086)

=====

(4)
Density functional theory data (PBE-GGA) for a relaxed NbPOsCl2 crystal.

Values from the calculation:
Relative energy among the computed polymorphs (meV/atom): 79
Energy relative to the elements, uncorrected (meV per atom): 1006
Space group: P4/mmm, No. 123

Lattice parameters (Å, degrees): 4.700 4.700 5.144 90.00 90.00 90.00
Sites, in units of the cell vectors:
Nb (0.000, 0.000, 0.000)
P (0.000, 0.000, 0.500)
Cl (0.000, 0.500, 0.000)
Cl (0.500, 0.000, 0.000)
Os (0.500, 0.500, 0.500)